1.
Entry from Alexandria: Ce3In4Hg4 after structural relaxation (PBE-GGA).

CIF file:
```
data_Ce3In4Hg4
_chemical_formula_sum 'Ce3 In4 Hg4'
_cell_length_a 9.2889
_cell_length_b 9.2889
_cell_length_c 9.2889
_cell_angle_alpha 150.03
_cell_angle_beta 132.08
_cell_angle_gamma 57.56
_space_group_name_H-M_alt 'P 1'
_space_group_IT_number 1
loop_
_space_group_symop_operation_xyz
'x,y,z'
loop_
_atom_site_label
_atom_site_fract_x
_atom_site_fract_y
_atom_site_fract_z
_atom_site_occupancy
Ce1 0.0000 0.0000 0.0000 1
Ce2 0.3728 0.8728 0.5000 1
Ce3 0.6272 0.1272 0.5000 1
In1 0.2137 0.2137 0.0000 1
In2 0.3115 0.5000 0.8115 1
In3 0.6885 0.5000 0.1885 1
In4 0.7863 0.7863 0.0000 1
Hg1 0.0369 0.3346 0.7022 1
Hg2 0.3676 0.6654 0.7022 1
Hg3 0.6324 0.3346 0.2978 1
Hg4 0.9631 0.6654 0.2978 1
```

***

2.
Entry from Alexandria: CaMgZn5Ag2 after structural relaxation (PBE-GGA).

CIF file:
```
data_CaMgZn5Ag2
_chemical_formula_sum 'Ca1 Mg1 Zn5 Ag2'
_cell_length_a 4.8397
_cell_length_b 4.8397
_cell_length_c 7.7735
_cell_angle_alpha 90.00
_cell_angle_beta 90.00
_cell_angle_gamma 90.00
_space_group_name_H-M_alt 'P 1'
_space_group_IT_number 1
loop_
_space_group_symop_operation_xyz
'x,y,z'
loop_
_atom_site_label
_atom_site_fract_x
_atom_site_fract_y
_atom_site_fract_z
_atom_site_occupancy
Ca1 0.0000 0.0000 0.0000 1
Mg1 0.0000 0.0000 0.5000 1
Zn1 0.0000 0.5000 0.2344 1
Zn2 0.0000 0.5000 0.7656 1
Zn3 0.5000 0.0000 0.2344 1
Zn4 0.5000 0.0000 0.7656 1
Zn5 0.5000 0.5000 0.0000 1
Ag1 0.5000 0.5000 0.3322 1
Ag2 0.5000 0.5000 0.6678 1
```

***

3.
Entry from Alexandria: Ba2GePt after structural relaxation (PBE-GGA).

CIF file:
```
data_Ba2GePt
_chemical_formula_sum 'Ba4 Ge2 Pt2'
_cell_length_a 7.1338
_cell_length_b 7.1338
_cell_length_c 7.1338
_cell_angle_alpha 104.60
_cell_angle_beta 104.60
_cell_angle_gamma 119.72
_space_group_name_H-M_alt 'P 1'
_space_group_IT_number 1
loop_
_space_group_symop_operation_xyz
'x,y,z'
loop_
_atom_site_label
_atom_site_fract_x
_atom_site_fract_y
_atom_site_fract_z
_atom_site_occupancy
Ba1 0.0934 0.6250 0.9684 1
Ba2 0.3750 0.3434 0.4684 1
Ba3 0.6566 0.1250 0.0316 1
Ba4 0.8750 0.9066 0.5316 1
Ge1 0.2500 0.7500 0.5000 1
Ge2 0.5000 0.5000 0.0000 1
Pt1 0.0000 0.0000 0.0000 1
Pt2 0.7500 0.2500 0.5000 1
```

***

4.
# Sn6Sb2Te3As, relaxed, DFT PBE-GGA
data_Sn6Sb2Te3As
_chemical_formula_sum 'Sn6 Sb2 Te3 As1'
_cell_length_a 7.5197
_cell_length_b 7.5197
_cell_length_c 7.6993
_cell_angle_alpha 99.40
_cell_angle_beta 99.40
_cell_angle_gamma 119.33
_space_group_name_H-M_alt 'P 1'
_space_group_IT_number 1
loop_
_space_group_symop_operation_xyz
'x,y,z'
loop_
_atom_site_label
_atom_site_fract_x
_atom_site_fract_y
_atom_site_fract_z
_atom_site_occupancy
Sn1 0.0765 0.3957 0.2300 1
Sn2 0.2386 0.2386 0.7647 1
Sn3 0.3957 0.0765 0.2300 1
Sn4 0.6043 0.9235 0.7700 1
Sn5 0.7614 0.7614 0.2353 1
Sn6 0.9235 0.6043 0.7700 1
Sb1 0.3348 0.6652 0.0000 1
Sb2 0.6652 0.3348 0.0000 1
Te1 0.1703 0.8297 0.5000 1
Te2 0.5000 0.5000 0.5000 1
Te3 0.8297 0.1703 0.5000 1
As1 0.0000 0.0000 0.0000 1
# formation energy (no corrections) = -0.1193 eV per atom

***

5.
# Sr2Ni2Te, relaxed, DFT PBE-GGA
data_Sr2Ni2Te
_chemical_formula_sum 'Sr4 Ni4 Te2'
_cell_length_a 7.4755
_cell_length_b 7.4755
_cell_length_c 4.3412
_cell_angle_alpha 90.00
_cell_angle_beta 90.00
_cell_angle_gamma 90.00
_space_group_name_H-M_alt 'P 1'
_space_group_IT_number 1
loop_
_space_group_symop_operation_xyz
'x,y,z'
loop_
_atom_site_label
_atom_site_fract_x
_atom_site_fract_y
_atom_site_fract_z
_atom_site_occupancy
Sr1 0.1823 0.3177 0.0000 1
Sr2 0.3177 0.8177 0.0000 1
Sr3 0.6823 0.1823 0.0000 1
Sr4 0.8177 0.6823 0.0000 1
Ni1 0.1093 0.6093 0.5000 1
Ni2 0.3907 0.1093 0.5000 1
Ni3 0.6093 0.8907 0.5000 1
Ni4 0.8907 0.3907 0.5000 1
Te1 0.0000 0.0000 0.5000 1
Te2 0.5000 0.5000 0.5000 1
# formation energy (no corrections) = -0.3515 eV per atom

***

6.
Entry from Alexandria: Li2MgScGa2 after structural relaxation (PBE-GGA).

CIF file:
```
data_Li2MgScGa2
_chemical_formula_sum 'Li2 Mg1 Sc1 Ga2'
_cell_length_a 4.5069
_cell_length_b 4.5069
_cell_length_c 6.1107
_cell_angle_alpha 90.00
_cell_angle_beta 90.00
_cell_angle_gamma 120.00
_space_group_name_H-M_alt 'P 1'
_space_group_IT_number 1
loop_
_space_group_symop_operation_xyz
'x,y,z'
loop_
_atom_site_label
_atom_site_fract_x
_atom_site_fract_y
_atom_site_fract_z
_atom_site_occupancy
Li1 0.3333 0.6667 0.2854 1
Li2 0.6667 0.3333 0.7146 1
Mg1 0.0000 0.0000 0.5000 1
Sc1 0.0000 0.0000 0.0000 1
Ga1 0.3333 0.6667 0.7883 1
Ga2 0.6667 0.3333 0.2117 1
```

***

no.,electronic total energy (eV/atom)
1,-2.989
2,-1.684
3,-3.837
4,-3.981
5,-3.965
6,-3.291